Entry from Alexandria: crystalline CePaFeO6 at its relaxed geometry (GGA+U).

Energy (Ry per atom): -0.6090
Space group: P312 (149)

a = 5.3578 Å, b = 5.3578 Å, c = 4.8611 Å
α = 90.00°, β = 90.00°, γ = 120.00°
Fractional positions:
1 Ce 0.0000 0.0000 0.0000
2 Pa 0.6667 0.3333 0.5000
3 Fe 0.3333 0.6667 0.0000
4 O 0.0167 0.3690 0.2342
5 O 0.0167 0.6477 0.7658
6 O 0.3523 0.3690 0.7658
7 O 0.3523 0.9833 0.2342
8 O 0.6310 0.6477 0.2342
9 O 0.6310 0.9833 0.7658